# 1
SmHfZnN3 after structural relaxation. Source: Alexandria, functional GGA-PBE.

```
data_SmHfZnN3
_symmetry_space_group_name_H-M 'P 1'
_symmetry_Int_Tables_number 1
_cell_length_a 6.8822
_cell_length_b 3.2838
_cell_length_c 7.6394
_cell_angle_alpha 90.00
_cell_angle_beta 100.17
_cell_angle_gamma 90.00
loop_
_symmetry_equiv_pos_as_xyz
'x,y,z'
loop_
_atom_site_label
_atom_site_type_symbol
_atom_site_fract_x
_atom_site_fract_y
_atom_site_fract_z
_atom_site_occupancy
Sm1 Sm 0.1833 0.2500 0.2253 1
Sm2 Sm 0.8167 0.7500 0.7747 1
Hf1 Hf 0.3417 0.7500 0.8683 1
Hf2 Hf 0.6583 0.2500 0.1317 1
Zn1 Zn 0.1288 0.2500 0.5910 1
Zn2 Zn 0.8712 0.7500 0.4090 1
N1 N 0.1329 0.2500 0.8627 1
N2 N 0.1994 0.7500 0.4655 1
N3 N 0.4325 0.7500 0.1394 1
N4 N 0.5675 0.2500 0.8606 1
N5 N 0.8006 0.2500 0.5345 1
N6 N 0.8671 0.7500 0.1373 1
```

Computed properties:
The symmetry is No. 11. The total magnetic moment is 0.00 μB/cell. As for the formation energy from raw total energies: -1009 meV per atom.



# 2
TmPuPaGa after structural relaxation. Source: Alexandria, functional GGA-PBE.

```
data_TmPuPaGa
_symmetry_space_group_name_H-M 'P 1'
_symmetry_Int_Tables_number 1
_cell_length_a 5.0867
_cell_length_b 5.0867
_cell_length_c 5.0867
_cell_angle_alpha 60.00
_cell_angle_beta 60.00
_cell_angle_gamma 60.00
loop_
_symmetry_equiv_pos_as_xyz
'x,y,z'
loop_
_atom_site_label
_atom_site_type_symbol
_atom_site_fract_x
_atom_site_fract_y
_atom_site_fract_z
_atom_site_occupancy
Tm1 Tm 0.0000 0.0000 0.0000 1
Pu1 Pu 0.5000 0.5000 0.5000 1
Pa1 Pa 0.2500 0.2500 0.2500 1
Ga1 Ga 0.7500 0.7500 0.7500 1
```

Computed properties:
The calculation puts the formation energy from the elements at 0.20 eV/f.u. The symmetry is No. 216. The total magnetic moment is 6.91 μB/cell.



# 3
Ag2SbPb after structural relaxation. Source: Alexandria, functional GGA-PBE.

```
data_Ag2SbPb
_symmetry_space_group_name_H-M 'P 1'
_symmetry_Int_Tables_number 1
_cell_length_a 5.5929
_cell_length_b 5.5929
_cell_length_c 5.5898
_cell_angle_alpha 104.57
_cell_angle_beta 104.57
_cell_angle_gamma 34.13
loop_
_symmetry_equiv_pos_as_xyz
'x,y,z'
loop_
_atom_site_label
_atom_site_type_symbol
_atom_site_fract_x
_atom_site_fract_y
_atom_site_fract_z
_atom_site_occupancy
Ag1 Ag 0.0000 0.0000 0.0000 1
Ag2 Ag 0.7134 0.7134 0.2901 1
Sb1 Sb 0.2538 0.2538 0.8509 1
Pb1 Pb 0.4702 0.4702 0.4815 1
```

Computed properties:
The symmetry is No. 8. The total magnetic moment is 0.00 μB/cell. As for the formation energy from raw total energies: 107 meV per atom.